# 1
The following is a DFT calculation (meta-GGA SCAN) of a PBEsol-optimized structure of Na3Si17.

**E_form (uncorrected)**: 12 meV/atom
**Space group**: Fd-3m (227)

Cell lengths 10.3892, 10.3892, 10.3892 Å; angles 60.00, 60.00, 60.00 degrees
Fractional coordinates of all 40 atoms:
Na 0.7500 0.7500 0.7500
Na 0.5000 0.5000 0.5000
Na 0.1250 0.1250 0.1250
Na 0.1250 0.1250 0.6250
Na 0.1250 0.6250 0.1250
Na 0.6250 0.1250 0.1250
Si 0.0000 0.0000 0.0000
Si 0.2500 0.2500 0.2500
Si 0.9070 0.9070 0.9070
Si 0.9070 0.9070 0.2789
Si 0.9070 0.2789 0.9070
Si 0.2789 0.9070 0.9070
Si 0.3430 0.3430 0.3430
Si 0.3430 0.3430 0.9711
Si 0.3430 0.9711 0.3430
Si 0.9711 0.3430 0.3430
Si 0.1312 0.7538 0.7538
Si 0.7538 0.1312 0.3613
Si 0.7538 0.3613 0.1312
Si 0.3613 0.7538 0.7538
Si 0.1312 0.3613 0.7538
Si 0.7538 0.7538 0.1312
Si 0.7538 0.7538 0.3613
Si 0.3613 0.1312 0.7538
Si 0.1312 0.7538 0.3613
Si 0.7538 0.3613 0.7538
Si 0.7538 0.1312 0.7538
Si 0.3613 0.7538 0.1312
Si 0.1188 0.4962 0.4962
Si 0.4962 0.1188 0.8887
Si 0.4962 0.8887 0.1188
Si 0.8887 0.4962 0.4962
Si 0.1188 0.8887 0.4962
Si 0.4962 0.4962 0.1188
Si 0.4962 0.4962 0.8887
Si 0.8887 0.1188 0.4962
Si 0.1188 0.4962 0.8887
Si 0.4962 0.8887 0.4962
Si 0.4962 0.1188 0.4962
Si 0.8887 0.4962 0.1188

=====

# 2
The following is a DFT calculation (meta-GGA SCAN) of a PBEsol-optimized structure of NaSi6.

**E_form (uncorrected)**: 56 meV/atom
**Space group**: Cmcm (63)

Cell lengths 4.1598, 5.6352, 12.1078 Å; angles 90.00, 90.00, 111.66 degrees
Fractional coordinates of all 14 atoms:
Na 0.2806 0.5612 0.2500
Na 0.7194 0.4388 0.7500
Si 0.2449 0.4899 0.5476
Si 0.7551 0.5101 0.4524
Si 0.2449 0.4899 0.9524
Si 0.7551 0.5101 0.0476
Si 0.5642 0.1283 0.3476
Si 0.4358 0.8717 0.6524
Si 0.5642 0.1283 0.1524
Si 0.4358 0.8717 0.8476
Si 0.0263 0.0526 0.5956
Si 0.9737 0.9474 0.4044
Si 0.0263 0.0526 0.9044
Si 0.9737 0.9474 0.0956

=====

# 3
The following is a DFT calculation (meta-GGA SCAN) of a PBEsol-optimized structure of NaSi34.

**E_form (uncorrected)**: 77 meV/atom
**Space group**: F-43m (216)

Cell lengths 10.3554, 10.3554, 10.3554 Å; angles 60.00, 60.00, 60.00 degrees
Fractional coordinates of all 35 atoms:
Na 0.2500 0.2500 0.2500
Si 0.0000 0.0000 0.0000
Si 0.7500 0.7500 0.7500
Si 0.2456 0.6391 0.8697
Si 0.8697 0.2456 0.2456
Si 0.6391 0.2456 0.2456
Si 0.2456 0.8697 0.6391
Si 0.6391 0.2456 0.8697
Si 0.2456 0.6391 0.2456
Si 0.2456 0.8697 0.2456
Si 0.8697 0.2456 0.6391
Si 0.2456 0.2456 0.8697
Si 0.6391 0.8697 0.2456
Si 0.8697 0.6391 0.2456
Si 0.2456 0.2456 0.6391
Si 0.5043 0.1106 0.8808
Si 0.8808 0.5043 0.5043
Si 0.1106 0.5043 0.5043
Si 0.5043 0.8808 0.1106
Si 0.1106 0.5043 0.8808
Si 0.5043 0.1106 0.5043
Si 0.5043 0.8808 0.5043
Si 0.8808 0.5043 0.1106
Si 0.5043 0.5043 0.8808
Si 0.1106 0.8808 0.5043
Si 0.8808 0.1106 0.5043
Si 0.5043 0.5043 0.1106
Si 0.0923 0.7231 0.0923
Si 0.0923 0.0923 0.0923
Si 0.7231 0.0923 0.0923
Si 0.0923 0.0923 0.7231
Si 0.6579 0.0264 0.6579
Si 0.6579 0.6579 0.6579
Si 0.0264 0.6579 0.6579
Si 0.6579 0.6579 0.0264

=====

# 4
The following is a DFT calculation (meta-GGA SCAN) of a PBEsol-optimized structure of Na2SrSi2.

**E_form (uncorrected)**: -166 meV/atom
**Space group**: I4/mmm (139)

Cell lengths 4.4605, 4.4605, 7.1821 Å; angles 108.09, 108.09, 90.00 degrees
Fractional coordinates of all 5 atoms:
Sr 0.0000 0.0000 0.0000
Si 0.4124 0.4124 0.8248
Si 0.5876 0.5876 0.1752
Na 0.2500 0.7500 0.5000
Na 0.7500 0.2500 0.5000

=====

# 5
The following is a DFT calculation (meta-GGA SCAN) of a PBEsol-optimized structure of NaTaSi3.

**E_form (uncorrected)**: 374 meV/atom
**Space group**: Pm-3m (221)

Cell lengths 4.8779, 4.8779, 4.8779 Å; angles 90.00, 90.00, 90.00 degrees
Fractional coordinates of all 5 atoms:
Na 0.5000 0.5000 0.5000
Si 0.0000 0.5000 0.0000
Si 0.0000 0.0000 0.5000
Si 0.5000 0.0000 0.0000
Ta 0.0000 0.0000 0.0000

=====

# 6
The following is a DFT calculation (meta-GGA SCAN) of a PBEsol-optimized structure of Na3SiTe3.

**E_form (uncorrected)**: -769 meV/atom
**Space group**: P2_1/c (14)

Cell lengths 8.8380, 8.7134, 12.5998 Å; angles 90.00, 90.00, 119.27 degrees
Fractional coordinates of all 28 atoms:
Na 0.2557 0.2899 0.2276
Na 0.2443 0.2101 0.7276
Na 0.7443 0.7101 0.7724
Na 0.7557 0.7899 0.2724
Na 0.6967 0.9744 0.5584
Na 0.8033 0.5256 0.0584
Na 0.3033 0.0256 0.4416
Na 0.1967 0.4744 0.9416
Na 0.5107 0.0155 0.1515
Na 0.9893 0.4845 0.6515
Na 0.4893 0.9845 0.8485
Na 0.0107 0.5155 0.3485
Si 0.1149 0.9687 0.0093
Si 0.3851 0.5313 0.5093
Si 0.8851 0.0313 0.9907
Si 0.6149 0.4687 0.4907
Te 0.5805 0.2450 0.6287
Te 0.9195 0.2550 0.1287
Te 0.4195 0.7550 0.3713
Te 0.0805 0.7450 0.8713
Te 0.8929 0.7500 0.5230
Te 0.6071 0.7500 0.0230
Te 0.1071 0.2500 0.4770
Te 0.3929 0.2500 0.9770
Te 0.6141 0.3606 0.3056
Te 0.8859 0.1394 0.8056
Te 0.3859 0.6394 0.6944
Te 0.1141 0.8606 0.1944

=====

# 7
The following is a DFT calculation (meta-GGA SCAN) of a PBEsol-optimized structure of NaTiSi2.

**E_form (uncorrected)**: 418 meV/atom
**Space group**: I-42d (122)

Cell lengths 4.4175, 4.4175, 9.2546 Å; angles 103.81, 103.81, 90.00 degrees
Fractional coordinates of all 8 atoms:
Na 0.7500 0.2500 0.5000
Na 0.5000 0.5000 0.0000
Si 0.9947 0.3750 0.2500
Si 0.2553 0.8750 0.2500
Si 0.6250 0.7447 0.7500
Si 0.1250 0.0053 0.7500
Ti 0.2500 0.7500 0.5000
Ti 0.0000 0.0000 0.0000

=====

# 8
The following is a DFT calculation (meta-GGA SCAN) of a PBEsol-optimized structure of NaSi2W.

**E_form (uncorrected)**: 658 meV/atom
**Space group**: Fm-3m (225)

Cell lengths 4.3947, 4.3947, 4.3947 Å; angles 60.00, 60.00, 60.00 degrees
Fractional coordinates of all 4 atoms:
Na 0.0000 0.0000 0.0000
Si 0.2500 0.2500 0.2500
Si 0.7500 0.7500 0.7500
W 0.5000 0.5000 0.5000

=====

# 9
The following is a DFT calculation (meta-GGA SCAN) of a PBEsol-optimized structure of NaSiW3.

**E_form (uncorrected)**: 1758 meV/atom
**Space group**: Pm-3m (221)

Cell lengths 4.5500, 4.5500, 4.5500 Å; angles 90.00, 90.00, 90.00 degrees
Fractional coordinates of all 5 atoms:
Na 0.5000 0.5000 0.5000
Si 0.0000 0.0000 0.0000
W 0.0000 0.5000 0.0000
W 0.0000 0.0000 0.5000
W 0.5000 0.0000 0.0000

=====

# 10
The following is a DFT calculation (meta-GGA SCAN) of a PBEsol-optimized structure of NaY2Si2.

**E_form (uncorrected)**: -132 meV/atom
**Space group**: I4/mmm (139)

Cell lengths 4.8871, 4.8871, 6.5490 Å; angles 111.91, 111.91, 90.00 degrees
Fractional coordinates of all 5 atoms:
Y 0.2500 0.7500 0.5000
Y 0.7500 0.2500 0.5000
Na 0.0000 0.0000 0.0000
Si 0.3925 0.3925 0.7849
Si 0.6075 0.6075 0.2151

=====

# 11
The following is a DFT calculation (meta-GGA SCAN) of a PBEsol-optimized structure of NaYSi3.

**E_form (uncorrected)**: 858 meV/atom
**Space group**: Pm-3m (221)

Cell lengths 5.2803, 5.2803, 5.2803 Å; angles 90.00, 90.00, 90.00 degrees
Fractional coordinates of all 5 atoms:
Y 0.0000 0.0000 0.0000
Na 0.5000 0.5000 0.5000
Si 0.0000 0.5000 0.0000
Si 0.0000 0.0000 0.5000
Si 0.5000 0.0000 0.0000

=====

# 12
The following is a DFT calculation (meta-GGA SCAN) of a PBEsol-optimized structure of Na2YSi.

**E_form (uncorrected)**: 24 meV/atom
**Space group**: I-42d (122)

Cell lengths 4.1421, 4.1421, 12.2232 Å; angles 99.75, 99.75, 90.00 degrees
Fractional coordinates of all 8 atoms:
Y 0.2500 0.7500 0.5000
Y 0.0000 0.0000 0.0000
Na 0.4045 0.8750 0.2500
Na 0.8455 0.3750 0.2500
Na 0.1250 0.1545 0.7500
Na 0.6250 0.5955 0.7500
Si 0.7500 0.2500 0.5000
Si 0.5000 0.5000 0.0000

=====

# 13
The following is a DFT calculation (meta-GGA SCAN) of a PBEsol-optimized structure of NaZn2Si2.

**E_form (uncorrected)**: -36 meV/atom
**Space group**: I4/mmm (139)

Cell lengths 4.1004, 4.1004, 5.9167 Å; angles 110.27, 110.27, 90.00 degrees
Fractional coordinates of all 5 atoms:
Na 0.0000 0.0000 0.0000
Zn 0.2500 0.7500 0.5000
Zn 0.7500 0.2500 0.5000
Si 0.3875 0.3875 0.7750
Si 0.6125 0.6125 0.2250

=====

# 14
The following is a DFT calculation (meta-GGA SCAN) of a PBEsol-optimized structure of NaSmTe2.

**E_form (uncorrected)**: -1501 meV/atom
**Space group**: R-3m (166)

Cell lengths 4.4297, 4.4297, 7.8736 Å; angles 73.66, 73.66, 60.00 degrees
Fractional coordinates of all 4 atoms:
Na 0.0000 0.0000 0.0000
Te 0.2460 0.2460 0.2619
Te 0.7540 0.7540 0.7381
Sm 0.5000 0.5000 0.5000

=====

# 15
The following is a DFT calculation (meta-GGA SCAN) of a PBEsol-optimized structure of Na3Sn.

**Formation energy from the elements**: -0.18 eV per atom
**Space group**: I4/mmm (139)

Cell lengths 4.7818, 4.7818, 5.8336 Å; angles 114.20, 114.20, 90.00 degrees
Fractional coordinates of all 4 atoms:
Na 0.2500 0.7500 0.5000
Na 0.7500 0.2500 0.5000
Na 0.5000 0.5000 0.0000
Sn 0.0000 0.0000 0.0000

=====

# 16
The following is a DFT calculation (meta-GGA SCAN) of a PBEsol-optimized structure of NaSn5.

**Formation energy from the elements**: -0.10 eV per atom
**Space group**: P-42_1m (113)

Cell lengths 6.2936, 6.2936, 8.7978 Å; angles 90.00, 90.00, 90.00 degrees
Fractional coordinates of all 12 atoms:
Na 0.5000 0.0000 0.7962
Na 0.0000 0.5000 0.2038
Sn 0.3424 0.8424 0.1842
Sn 0.8424 0.6576 0.8158
Sn 0.1576 0.3424 0.8158
Sn 0.6576 0.1576 0.1842
Sn 0.2488 0.7488 0.5006
Sn 0.7488 0.7512 0.4994
Sn 0.2512 0.2488 0.4994
Sn 0.7512 0.2512 0.5006
Sn 0.5000 0.5000 0.0000
Sn 0.0000 0.0000 0.0000

=====

# 17
The following is a DFT calculation (meta-GGA SCAN) of a PBEsol-optimized structure of Na3Sn.

**Formation energy from the elements**: -0.18 eV per atom
**Space group**: Fm-3m (225)

Cell lengths 5.3554, 5.3554, 5.3554 Å; angles 60.00, 60.00, 60.00 degrees
Fractional coordinates of all 4 atoms:
Na 0.7500 0.7500 0.7500
Na 0.2500 0.2500 0.2500
Na 0.5000 0.5000 0.5000
Sn 0.0000 0.0000 0.0000

=====

# 18
The following is a DFT calculation (meta-GGA SCAN) of a PBEsol-optimized structure of Na5Sn2.

**Formation energy from the elements**: -0.23 eV per atom
**Space group**: R-3m (166)

Cell lengths 5.3819, 5.3819, 8.0370 Å; angles 70.44, 70.44, 60.00 degrees
Fractional coordinates of all 7 atoms:
Na 0.5000 0.5000 0.5000
Na 0.6445 0.6445 0.0666
Na 0.3555 0.3555 0.9334
Na 0.7869 0.7869 0.6392
Na 0.2131 0.2131 0.3608
Sn 0.9331 0.9331 0.2006
Sn 0.0669 0.0669 0.7994

=====

# 19
The following is a DFT calculation (meta-GGA SCAN) of a PBEsol-optimized structure of NaSr2Sn2.

**Formation energy from the elements**: -0.59 eV per atom
**Space group**: P4/mbm (127)

Cell lengths 4.6630, 8.4900, 8.4900 Å; angles 90.00, 90.00, 90.00 degrees
Fractional coordinates of all 10 atoms:
Sr 0.5000 0.1720 0.6720
Sr 0.5000 0.6720 0.8280
Sr 0.5000 0.8280 0.3280
Sr 0.5000 0.3280 0.1720
Sn 0.0000 0.3787 0.8787
Sn 0.0000 0.8787 0.6213
Sn 0.0000 0.6213 0.1213
Sn 0.0000 0.1213 0.3787
Na 0.0000 0.0000 0.0000
Na 0.0000 0.5000 0.5000

=====

# 20
The following is a DFT calculation (meta-GGA SCAN) of a PBEsol-optimized structure of NaSn2Te2.

**E_form (uncorrected)**: -276 meV/atom
**Space group**: I4/mmm (139)

Cell lengths 5.8762, 6.2667, 5.8762 Å; angles 117.96, 90.00, 117.96 degrees
Fractional coordinates of all 5 atoms:
Na 0.0000 0.0000 0.0000
Te 0.2500 0.5000 0.7500
Te 0.7500 0.5000 0.2500
Sn 0.3425 0.6851 0.3425
Sn 0.6575 0.3149 0.6575

=====

# 21
The following is a DFT calculation (meta-GGA SCAN) of a PBEsol-optimized structure of NaTi3Sn.

**Formation energy from the elements**: 1.25 eV per atom
**Space group**: Pm-3m (221)

Cell lengths 4.6259, 4.6259, 4.6259 Å; angles 90.00, 90.00, 90.00 degrees
Fractional coordinates of all 5 atoms:
Na 0.0000 0.0000 0.0000
Sn 0.5000 0.5000 0.5000
Ti 0.0000 0.5000 0.0000
Ti 0.0000 0.0000 0.5000
Ti 0.5000 0.0000 0.0000

=====

# 22
The following is a DFT calculation (meta-GGA SCAN) of a PBEsol-optimized structure of Na3TiSn.

**Formation energy from the elements**: 0.72 eV per atom
**Space group**: Pm-3m (221)

Cell lengths 5.6854, 5.6854, 5.6854 Å; angles 90.00, 90.00, 90.00 degrees
Fractional coordinates of all 5 atoms:
Na 0.0000 0.5000 0.0000
Na 0.0000 0.0000 0.5000
Na 0.5000 0.0000 0.0000
Sn 0.0000 0.0000 0.0000
Ti 0.5000 0.5000 0.5000

=====

Size of the total moment? In order: 0.00 0.00 0.00 0.00 0.00 0.00 1.90 0.01 0.00 0.00 0.00 0.00 0.00 0.00 0.00 0.00 0.72 0.00 0.00 0.00 1.60 2.79 μB per cell.
Mass density? In order: 2.29 2.41 2.07 2.45 4.12 3.77 2.48 7.28 10.62 3.21 2.21 2.66 4.02 5.62 2.87 5.88 2.87 3.15 4.30 5.29 4.79 2.13 g/cm³.